Entry 1:
Computed, not measured: BeFe4Mo after structural relaxation at the GGA-PBEsol level of DFT.

Summary:
The formation energy comes out at 90.8 meV/atom. The value obtained for the magnetic moment is 4.401 μB per formula unit. Its calculated total energy is -51.08 eV per formula unit. Its symmetry is F-43m, No. 216.

Cell: 4.554 4.554 4.554 Å, 60.00 60.00 60.00°
Sites, in units of the cell vectors:
Be 0.000 0.000 0.000
Fe 0.122 0.626 0.626
Fe 0.626 0.122 0.626
Fe 0.626 0.626 0.122
Fe 0.626 0.626 0.626
Mo 0.250 0.250 0.250


Entry 2:
Computed, not measured: NaPb3W after structural relaxation at the GGA-PBEsol level of DFT.

Summary:
The formation energy comes out at 501.6 meV/atom. The calculation puts the energy relative to the lowest polymorph listed for this composition at 0 meV/atom. The value obtained for the magnetic moment is 0.000 μB per formula unit. Its calculated total energy is -24.70 eV per formula unit. Its symmetry is Pm-3m, No. 221.

Cell: 5.390 5.390 5.390 Å, 90.00 90.00 90.00°
Sites, in units of the cell vectors:
Na 0.000 0.000 0.000
Pb 0.000 0.500 0.500
Pb 0.500 0.000 0.500
Pb 0.500 0.500 0.000
W 0.500 0.500 0.500


Entry 3:
Computed, not measured: FeHgSb2 after structural relaxation at the GGA-PBEsol level of DFT.

Summary:
The value obtained for the magnetic moment is 2.865 μB per formula unit. Its calculated total energy is -16.58 eV per formula unit. Its symmetry is I-4m2, No. 119. The value obtained for the uncorrected formation energy is 2.07 eV per formula unit.

Cell: 5.857 5.857 5.857 Å, 138.79 138.79 59.70°
Sites, in units of the cell vectors:
Fe 0.000 0.000 0.000
Hg 0.750 0.250 0.500
Sb 0.250 0.750 0.500
Sb 0.500 0.500 0.000


Entry 4:
Computed, not measured: InNi2Rh after structural relaxation at the GGA-PBEsol level of DFT.

Summary:
The formation energy comes out at -26.2 meV/atom. The value obtained for the magnetic moment is 0.001 μB per formula unit. Its calculated total energy is -23.54 eV per formula unit. Its symmetry is Cmmm, No. 65.

Cell: 4.415 4.415 2.809 Å, 90.00 90.00 103.80°
Sites, in units of the cell vectors:
In 0.000 0.000 0.000
Ni 0.000 0.500 0.500
Ni 0.500 0.000 0.500
Rh 0.500 0.500 0.000


Entry 5:
Computed, not measured: Be2CdNi2 after structural relaxation at the GGA-PBEsol level of DFT.

Summary:
The formation energy comes out at 60.8 meV/atom. The value obtained for the magnetic moment is 0.000 μB per formula unit. Its calculated total energy is -21.21 eV per formula unit. Its symmetry is I4/mmm, No. 139.

Cell: 5.777 5.777 5.777 Å, 146.43 146.43 48.21°
Sites, in units of the cell vectors:
Be 0.250 0.750 0.500
Be 0.750 0.250 0.500
Cd 0.000 0.000 0.000
Ni 0.385 0.385 0.000
Ni 0.615 0.615 0.000


Entry 6:
Computed, not measured: Li2TaSi after structural relaxation at the GGA-PBEsol level of DFT.

Summary:
The value obtained for the magnetic moment is 0.000 μB per formula unit. Its calculated total energy is -22.40 eV per formula unit. Its symmetry is Immm, No. 71. The value obtained for the uncorrected formation energy is -0.17 eV per formula unit.

Cell: 5.677 5.677 5.677 Å, 152.47 133.03 55.31°
Sites, in units of the cell vectors:
Li 0.223 0.223 0.000
Li 0.777 0.777 0.000
Ta 0.500 0.000 0.500
Si 0.000 0.500 0.500


Entry 7:
Computed, not measured: ScMnTl2 after structural relaxation at the GGA-PBEsol level of DFT.

Summary:
The formation energy comes out at 113.0 meV/atom. The value obtained for the magnetic moment is 3.900 μB per formula unit. Its calculated total energy is -21.17 eV per formula unit. Its symmetry is P2/m, No. 10.

Cell: 3.307 3.356 7.247 Å, 90.00 90.25 90.00°
Sites, in units of the cell vectors:
Sc 0.000 0.000 0.000
Mn 0.000 0.000 0.500
Tl 0.499 0.500 0.731
Tl 0.501 0.500 0.269


Entry 8:
Computed, not measured: Zn2SiH2O5 after structural relaxation at the GGA-PBEsol level of DFT.

Summary:
The value obtained for the magnetic moment is 0.000 μB per formula unit. Its calculated total energy is -59.06 eV per formula unit. Its symmetry is Imm2, No. 44.

Cell: 7.288 7.288 7.288 Å, 109.43 84.75 139.36°
Sites, in units of the cell vectors:
Zn 0.161 0.205 0.365
Zn 0.161 0.795 0.956
Zn 0.839 0.205 0.044
Zn 0.839 0.795 0.635
Si 0.347 0.493 0.854
Si 0.639 0.493 0.146
H 0.350 0.760 0.410
H 0.350 0.941 0.590
H 0.821 0.203 0.382
H 0.821 0.440 0.618
O 0.161 0.205 0.633
O 0.161 0.528 0.956
O 0.401 0.401 0.000
O 0.475 0.975 0.500
O 0.572 0.205 0.044
O 0.572 0.528 0.367
O 0.650 0.813 0.837
O 0.974 0.283 0.309
O 0.974 0.665 0.691
O 0.976 0.813 0.163


Entry 9:
Computed, not measured: Zn3In after structural relaxation at the GGA-PBEsol level of DFT.

Summary:
The formation energy comes out at 149.4 meV/atom. The value obtained for the magnetic moment is 0.000 μB per formula unit. Its calculated total energy is -7.13 eV per formula unit. Its symmetry is Imm2, No. 44.

Cell: 5.564 5.564 5.564 Å, 147.80 59.94 130.90°
Sites, in units of the cell vectors:
Zn 0.000 0.000 0.000
Zn 0.435 0.688 0.747
Zn 0.940 0.688 0.253
In 0.504 0.004 0.500


Entry 10:
Computed, not measured: Zr2CdMo after structural relaxation at the GGA-PBEsol level of DFT.

Summary:
The formation energy comes out at 132.9 meV/atom. The value obtained for the magnetic moment is 0.000 μB per formula unit. Its calculated total energy is -30.61 eV per formula unit. Its symmetry is C2/m, No. 12.

Cell: 5.494 5.494 2.806 Å, 97.00 97.00 112.62°
Sites, in units of the cell vectors:
Zr 0.000 0.500 0.000
Zr 0.500 0.000 0.000
Cd 0.000 0.000 0.500
Mo 0.500 0.500 0.500


Entry 11:
Computed, not measured: Cs2PO3F after structural relaxation at the GGA-PBEsol level of DFT.

Summary:
The value obtained for the magnetic moment is 0.001 μB per formula unit. Its calculated total energy is -42.33 eV per formula unit. Its symmetry is Pnma, No. 62. The value obtained for the uncorrected formation energy is -16.98 eV per formula unit.

Cell: 8.280 6.324 10.931 Å, 90.00 90.00 90.00°
Sites, in units of the cell vectors:
Cs 0.001 0.250 0.214
Cs 0.171 0.750 0.417
Cs 0.329 0.250 0.917
Cs 0.499 0.750 0.714
Cs 0.501 0.250 0.286
Cs 0.671 0.750 0.083
Cs 0.829 0.250 0.583
Cs 0.999 0.750 0.786
P 0.248 0.750 0.083
P 0.252 0.250 0.583
P 0.748 0.750 0.417
P 0.752 0.250 0.917
O 0.199 0.250 0.450
O 0.217 0.047 0.653
O 0.217 0.453 0.653
O 0.283 0.547 0.153
O 0.283 0.953 0.153
O 0.301 0.750 0.950
O 0.699 0.250 0.050
O 0.717 0.047 0.847
O 0.717 0.453 0.847
O 0.783 0.547 0.347
O 0.783 0.953 0.347
O 0.801 0.750 0.550
F 0.047 0.750 0.074
F 0.453 0.250 0.574
F 0.547 0.750 0.426
F 0.953 0.250 0.926


Entry 12:
Computed, not measured: Na3ScPd after structural relaxation at the GGA-PBEsol level of DFT.

Summary:
The formation energy comes out at 1353.5 meV/atom. The calculation puts the energy relative to the lowest polymorph listed for this composition at 760 meV/atom. The value obtained for the magnetic moment is 1.888 μB per formula unit. Its calculated total energy is -10.00 eV per formula unit. Its symmetry is Pm-3m, No. 221.

Cell: 5.728 5.728 5.728 Å, 90.00 90.00 90.00°
Sites, in units of the cell vectors:
Na 0.000 0.000 0.500
Na 0.000 0.500 0.000
Na 0.500 0.000 0.000
Sc 0.000 0.000 0.000
Pd 0.500 0.500 0.500


Entry 13:
Computed, not measured: Lu3Co4Ge13 after structural relaxation at the GGA-PBEsol level of DFT.

Summary:
The formation energy comes out at -472.9 meV/atom. The value obtained for the magnetic moment is 0.000 μB per formula unit. Its calculated total energy is -119.23 eV per formula unit. Its symmetry is Pm-3n, No. 223.

Cell: 8.596 8.596 8.596 Å, 90.00 90.00 90.00°
Sites, in units of the cell vectors:
Lu 0.000 0.250 0.500
Lu 0.000 0.750 0.500
Lu 0.250 0.500 0.000
Lu 0.500 0.000 0.250
Lu 0.500 0.000 0.750
Lu 0.750 0.500 0.000
Co 0.250 0.250 0.250
Co 0.250 0.250 0.750
Co 0.250 0.750 0.250
Co 0.250 0.750 0.750
Co 0.750 0.250 0.250
Co 0.750 0.250 0.750
Co 0.750 0.750 0.250
Co 0.750 0.750 0.750
Ge 0.000 0.000 0.000
Ge 0.000 0.305 0.153
Ge 0.000 0.305 0.847
Ge 0.000 0.695 0.153
Ge 0.000 0.695 0.847
Ge 0.153 0.000 0.305
Ge 0.153 0.000 0.695
Ge 0.195 0.500 0.347
Ge 0.195 0.500 0.653
Ge 0.305 0.153 0.000
Ge 0.305 0.847 0.000
Ge 0.347 0.195 0.500
Ge 0.347 0.805 0.500
Ge 0.500 0.347 0.195
Ge 0.500 0.347 0.805
Ge 0.500 0.500 0.500
Ge 0.500 0.653 0.195
Ge 0.500 0.653 0.805
Ge 0.653 0.195 0.500
Ge 0.653 0.805 0.500
Ge 0.695 0.153 0.000
Ge 0.695 0.847 0.000
Ge 0.805 0.500 0.347
Ge 0.805 0.500 0.653
Ge 0.847 0.000 0.305
Ge 0.847 0.000 0.695


Entry 14:
Computed, not measured: Y2TlTc after structural relaxation at the GGA-PBEsol level of DFT.

Summary:
The formation energy comes out at 140.0 meV/atom. The value obtained for the magnetic moment is 0.002 μB per formula unit. Its calculated total energy is -26.98 eV per formula unit. Its symmetry is F-43m, No. 216.

Cell: 4.932 4.932 4.932 Å, 60.00 60.00 60.00°
Sites, in units of the cell vectors:
Y 0.000 0.000 0.000
Y 0.250 0.250 0.250
Tl 0.750 0.750 0.750
Tc 0.500 0.500 0.500


Entry 15:
Computed, not measured: Ba2Li2As after structural relaxation at the GGA-PBEsol level of DFT.

Summary:
The formation energy comes out at -53.2 meV/atom. The calculation puts the energy relative to the lowest polymorph listed for this composition at 369 meV/atom. The value obtained for the magnetic moment is 0.000 μB per formula unit. Its calculated total energy is -13.60 eV per formula unit. Its symmetry is P4/mbm, No. 127.

Cell: 8.550 8.550 5.790 Å, 90.00 90.00 90.00°
Sites, in units of the cell vectors:
Ba 0.174 0.326 0.000
Ba 0.326 0.826 0.000
Ba 0.674 0.174 0.000
Ba 0.826 0.674 0.000
Li 0.129 0.629 0.500
Li 0.371 0.129 0.500
Li 0.629 0.871 0.500
Li 0.871 0.371 0.500
As 0.000 0.000 0.000
As 0.500 0.500 0.000


Entry 16:
Computed, not measured: NaZnP2S after structural relaxation at the GGA-PBEsol level of DFT.

Summary:
The calculation puts the energy relative to the lowest polymorph listed for this composition at 893 meV/atom. The value obtained for the magnetic moment is 0.002 μB per formula unit. Its calculated total energy is -12.26 eV per formula unit. Its symmetry is P4/mmm, No. 123. The value obtained for the uncorrected formation energy is 6.69 eV per formula unit.

Cell: 4.777 4.777 4.721 Å, 90.00 90.00 90.00°
Sites, in units of the cell vectors:
Na 0.000 0.000 0.000
Zn 0.500 0.500 0.500
P 0.000 0.500 0.000
P 0.500 0.000 0.000
S 0.000 0.000 0.500


Entry 17:
Computed, not measured: La2PtAu after structural relaxation at the GGA-PBEsol level of DFT.

Summary:
The formation energy comes out at -788.0 meV/atom. The value obtained for the magnetic moment is 0.000 μB per formula unit. Its calculated total energy is -24.73 eV per formula unit. Its symmetry is F-43m, No. 216.

Cell: 4.946 4.946 4.946 Å, 60.00 60.00 60.00°
Sites, in units of the cell vectors:
La 0.000 0.000 0.000
La 0.250 0.250 0.250
Pt 0.750 0.750 0.750
Au 0.500 0.500 0.500


Entry 18:
Computed, not measured: TlZnSb2Pt after structural relaxation at the GGA-PBEsol level of DFT.

Summary:
The value obtained for the magnetic moment is 0.000 μB per formula unit. Its calculated total energy is -18.26 eV per formula unit. Its symmetry is P4/mmm, No. 123. The value obtained for the uncorrected formation energy is 2.03 eV per formula unit.

Cell: 5.248 5.248 5.167 Å, 90.00 90.00 90.00°
Sites, in units of the cell vectors:
Tl 0.000 0.000 0.000
Zn 0.500 0.500 0.000
Sb 0.000 0.500 0.500
Sb 0.500 0.000 0.500
Pt 0.000 0.000 0.500


Entry 19:
Computed, not measured: Ta2ReBr after structural relaxation at the GGA-PBEsol level of DFT.

Summary:
The calculation puts the energy relative to the lowest polymorph listed for this composition at 0 meV/atom. The value obtained for the magnetic moment is 0.000 μB per formula unit. Its calculated total energy is -38.37 eV per formula unit. Its symmetry is Cm, No. 8. The value obtained for the uncorrected formation energy is 1.93 eV per formula unit.

Cell: 5.394 5.394 4.496 Å, 105.54 105.54 33.53°
Sites, in units of the cell vectors:
Ta 0.000 0.000 0.000
Ta 0.227 0.227 0.659
Re 0.512 0.512 0.539
Br 0.786 0.786 0.203


Entry 20:
Computed, not measured: ZnHg2Ir after structural relaxation at the GGA-PBEsol level of DFT.

Summary:
The formation energy comes out at 254.5 meV/atom. The value obtained for the magnetic moment is 0.000 μB per formula unit. Its calculated total energy is -11.52 eV per formula unit. Its symmetry is I4/mmm, No. 139.

Cell: 5.138 5.138 5.138 Å, 134.64 134.64 66.10°
Sites, in units of the cell vectors:
Zn 0.000 0.000 0.000
Hg 0.250 0.750 0.500
Hg 0.750 0.250 0.500
Ir 0.500 0.500 0.000